The following is a DFT calculation (PBE) of a relaxed Be2CuRu crystal.

Cell lengths 3.3498, 3.0118, 4.3738 Å; angles 70.04, 90.00, 90.00 degrees
Fractional coordinates of all 4 atoms:
Be  0.5000  0.0468  0.2843
Cu  0.0000  0.4826  0.4126
Be  0.0000  0.2060  0.9608
Ru  0.5000  0.7645  0.8423

Computed properties:
**Offset from the most stable computed form**: 129 meV/atom
**Raw total energy**: -5.382 eV/atom
**Energy relative to the elements**: -16.9 kJ per mole of atoms
**Total moment**: 0.0 μB per formula unit
**Space group**: No. 6
**Density**: 7.3 g/cm³

The following is a DFT calculation (PBE) of a relaxed Pm2GeAsPt6 crystal.

Cell lengths 5.5600, 8.6309, 8.4651 Å; angles 90.00, 90.00, 90.00 degrees
Fractional coordinates of all 20 atoms:
Pt  0.7511  0.5000  0.5000
Pt  0.5000  0.1149  0.7457
Pt  0.2484  0.0123  0.0000
Pt  0.7489  0.5000  0.0000
Pm  0.0000  0.2671  0.2462
Pm  0.5000  0.7329  0.2538
As  0.5000  0.2673  0.5000
Ge  0.0000  0.7338  0.5000
Pt  0.2489  0.5000  0.5000
Pt  0.5000  0.1149  0.2543
Pm  0.0000  0.2671  0.7538
Pt  0.2516  0.9877  0.5000
Pm  0.5000  0.7329  0.7462
Pt  0.0000  0.8851  0.2457
Pt  0.2511  0.5000  0.0000
As  0.0000  0.7327  0.0000
Pt  0.0000  0.8851  0.7543
Pt  0.7516  0.0123  0.0000
Ge  0.5000  0.2662  0.0000
Pt  0.7484  0.9877  0.5000

Computed properties:
**Raw total energy**: -6.353 eV/atom
**Energy relative to the elements**: -82.2 kJ per mole of atoms
**Total moment**: 0.0 μB per formula unit
**Space group**: No. 59
**Density**: 13.1 g/cm³

The following is a DFT calculation (PBE) of a relaxed Tm2Al5Pt4 crystal.

Cell lengths 5.3609, 5.3122, 8.5724 Å; angles 80.92, 71.78, 59.70 degrees
Fractional coordinates of all 11 atoms:
Al  0.2500  0.5000  0.5000
Al  0.5000  0.5000  0.0000
Tm  0.1253  0.0000  0.7495
Pt  0.2102  0.3202  0.2593
Al  0.0000  0.5000  0.0000
Pt  0.4695  0.3202  0.7407
Tm  0.8747  0.0000  0.2505
Al  0.7500  0.5000  0.5000
Al  0.5000  0.0000  0.0000
Pt  0.7898  0.6798  0.7407
Pt  0.5305  0.6798  0.2593

Computed properties:
**Raw total energy**: -5.720 eV/atom
**Energy relative to the elements**: -97.4 kJ per mole of atoms
**Total moment**: 0.0 μB per formula unit
**Space group**: No. 69
**Density**: 10.4 g/cm³

The following is a DFT calculation (PBE) of a relaxed Li2B2SbPd5 crystal.

Cell lengths 3.0997, 9.6683, 9.6683 Å; angles 90.00, 90.00, 90.00 degrees
Fractional coordinates of all 20 atoms:
Pd  0.5000  0.0717  0.7739
Pd  0.5000  0.2261  0.0717
Sb  0.0000  0.5000  0.5000
B  0.0000  0.3804  0.1196
Li  0.0000  0.6754  0.1754
Pd  0.5000  0.5000  0.0000
Sb  0.0000  0.0000  0.0000
Pd  0.5000  0.7261  0.4283
Pd  0.5000  0.2739  0.5717
Pd  0.5000  0.5717  0.7261
Li  0.0000  0.1754  0.3246
Pd  0.5000  0.7739  0.9283
Li  0.0000  0.3246  0.8246
Pd  0.5000  0.9283  0.2261
Li  0.0000  0.8246  0.6754
Pd  0.5000  0.4283  0.2739
B  0.0000  0.6196  0.8804
Pd  0.5000  0.0000  0.5000
B  0.0000  0.1196  0.6196
B  0.0000  0.8804  0.3804

Computed properties:
**Raw formation energy**: -0.38 eV/atom
**Raw total energy**: -5.104 eV/atom
**Total moment**: 0.0 μB per formula unit
**Space group**: No. 127
**Density**: 7.9 g/cm³